Record 1
A relaxed Dy2BeZnPd6 crystal. Source: Alexandria, functional PBE.

Unit cell a=5.717 b=5.721 c=7.091 alpha=66.88 beta=66.78 gamma=60.66
Fractional positions:
Dy 0.225 0.226 0.212
Dy 0.775 0.774 0.788
Be 0.500 0.500 0.500
Zn 0.000 0.000 0.000
Pd 0.163 0.681 0.344
Pd 0.283 0.283 0.771
Pd 0.320 0.837 0.655
Pd 0.680 0.163 0.345
Pd 0.717 0.717 0.229
Pd 0.837 0.319 0.656

Properties
- VASP energy: -51.83 eV per cell
- Energy of formation: -0.647 eV/atom
- Total moment: 0.0 Bohr magnetons per cell
- DOS at the Fermi energy: 3.3 states/eV/cell
- V: 180.0 Å³/cell

Record 2
A relaxed PmDyBeRh crystal. Source: Alexandria, functional PBE.

Unit cell a=4.919 b=4.919 c=4.919 alpha=60.00 beta=60.00 gamma=60.00
Fractional positions:
Pm 0.000 0.000 0.000
Dy 0.500 0.500 0.500
Be 0.750 0.750 0.750
Rh 0.250 0.250 0.250

Properties
- VASP energy: -21.63 eV per cell
- Energy of formation: -0.301 eV/atom
- Total moment: 0.0 Bohr magnetons per cell
- DOS at the Fermi energy: 2.2 states/eV/cell
- V: 84.1 Å³/cell

Record 3
A relaxed PrDy2Be crystal. Source: Alexandria, functional PBE.

Unit cell a=11.649 b=11.649 c=11.649 alpha=17.25 beta=17.25 gamma=17.25
Fractional positions:
Pr 0.000 0.000 0.000
Dy 0.417 0.417 0.417
Dy 0.583 0.583 0.583
Be 0.500 0.500 0.500

Properties
- VASP energy: -14.85 eV per cell
- Energy of formation: 0.715 eV/atom
- Total moment: 0.0 Bohr magnetons per cell
- Energy relative to the lowest polymorph listed for this composition: 646 meV per atom
- DOS at the Fermi energy: 4.8 states/eV/cell
- V: 121.3 Å³/cell

Record 4
A relaxed PrDy2Be crystal. Source: Alexandria, functional PBE.

Unit cell a=3.479 b=3.479 c=8.806 alpha=90.00 beta=90.00 gamma=90.00
Fractional positions:
Pr 0.000 0.000 0.000
Dy 0.500 0.500 0.313
Dy 0.500 0.500 0.687
Be 0.000 0.000 0.500

Properties
- VASP energy: -17.43 eV per cell
- Energy of formation: 0.069 eV/atom
- Total moment: 0.0 Bohr magnetons per cell
- Energy relative to the lowest polymorph listed for this composition: 0 meV per atom
- DOS at the Fermi energy: 4.2 states/eV/cell
- V: 106.6 Å³/cell

Record 5
A relaxed PrDyBeZn crystal. Source: Alexandria, functional PBE.

Unit cell a=5.045 b=5.045 c=5.045 alpha=60.00 beta=60.00 gamma=60.00
Fractional positions:
Pr 0.000 0.000 0.000
Dy 0.500 0.500 0.500
Be 0.750 0.750 0.750
Zn 0.250 0.250 0.250

Properties
- VASP energy: -14.60 eV per cell
- Energy of formation: -0.053 eV/atom
- Total moment: 0.0 Bohr magnetons per cell
- DOS at the Fermi energy: 4.7 states/eV/cell
- V: 90.8 Å³/cell

Record 6
A relaxed Dy2BePt9 crystal. Source: Alexandria, functional PBE.

Unit cell a=4.071 b=4.071 c=11.913 alpha=90.00 beta=90.00 gamma=90.00
Fractional positions:
Dy 0.000 0.000 0.175
Dy 0.000 0.000 0.825
Be 0.000 0.000 0.500
Pt 0.000 0.500 0.000
Pt 0.000 0.500 0.354
Pt 0.000 0.500 0.646
Pt 0.500 0.000 0.000
Pt 0.500 0.000 0.354
Pt 0.500 0.000 0.646
Pt 0.500 0.500 0.176
Pt 0.500 0.500 0.500
Pt 0.500 0.500 0.824

Properties
- VASP energy: -76.43 eV per cell
- Energy of formation: -0.761 eV/atom
- Total moment: 0.0 Bohr magnetons per cell
- DOS at the Fermi energy: 9.9 states/eV/cell
- V: 197.4 Å³/cell